# Ho3ScZn8

A relaxed Ho3ScZn8 crystal (PBE-GGA, Alexandria via LeMat-Bulk).

- Space group: No. 160
- Size of the total moment: 0.00 Bohr magnetons per cell
- V: 18.54 Å³ per atom
- ΔE_f: -0.33 eV per atom
- Crystal system: trigonal

abc: 5.4055 5.4055 9.3295
angles: 73.16 73.16 60.00
Fractional coordinates of all 12 atoms:
Zn1 0.9376 0.9376 0.6842
Zn2 0.4368 0.4368 0.1905
Zn3 0.9376 0.4406 0.6842
Zn4 0.9359 0.4368 0.1905
Zn5 0.1877 0.1877 0.4369
Zn6 0.4368 0.9359 0.1905
Zn7 0.4406 0.9376 0.6842
Zn8 0.6875 0.6875 0.9375
Ho1 0.9982 0.9982 0.0053
Ho2 0.3759 0.3759 0.8722
Ho3 0.5011 0.5011 0.4966
Sc1 0.8742 0.8742 0.3773

---

# Nd2YHo

A relaxed Nd2YHo crystal (PBE-GGA, Alexandria via LeMat-Bulk).

- Space group: No. 160
- Size of the total moment: 0.00 Bohr magnetons per cell
- V: 33.46 Å³ per atom
- ΔE to the lowest computed polymorph: 0.0060 eV/atom
- ΔE_f: 0.02 eV per atom
- Crystal system: trigonal

abc: 3.6331 3.6331 11.8942
angles: 81.22 81.22 60.00
Fractional coordinates of all 4 atoms:
Y1 0.4998 0.4998 0.5006
Nd1 0.2501 0.2501 0.2496
Nd2 0.0829 0.0829 0.7512
Ho1 0.6671 0.6671 0.9986

---

# BeTcI2

A relaxed BeTcI2 crystal (PBE-GGA, Alexandria via LeMat-Bulk).

- Space group: No. 225
- Size of the total moment: 0.00 Bohr magnetons per cell
- Raw formation energy: 1.12 eV/atom
- V: 19.70 Å³ per atom
- ΔE to the lowest computed polymorph: 0.3022 eV/atom
- Crystal system: cubic

abc: 4.8125 4.8125 4.8125
angles: 60.00 60.00 60.00
Fractional coordinates of all 4 atoms:
I1 0.7500 0.7500 0.7500
I2 0.2500 0.2500 0.2500
Be1 0.0000 0.0000 0.0000
Tc1 0.5000 0.5000 0.5000

---

- Which of these has the lowest V?
  Ho3ScZn8